1.
The following is a PBE calculation of a relaxed structure of MnGaSiRhSe, from Alexandria.

Unit cell a=3.901 b=3.126 c=12.757 alpha=90.00 beta=90.00 gamma=90.00
Last column: magnetic moment on the atom in μB.
Atoms (fractional coordinates):
Se 0.000 0.500 0.806  -0.05
Se 0.000 0.000 0.306  -0.05
Si 0.000 0.000 0.611  -0.04
Si 0.000 0.500 0.111  -0.04
Mn 0.000 0.500 0.461  2.00
Mn 0.000 0.000 0.961  2.00
Ga 0.500 0.500 0.966  -0.09
Ga 0.500 0.000 0.466  -0.09
Rh 0.500 0.500 0.641  -0.01
Rh 0.500 0.000 0.141  -0.01

Values from the calculation:
ΔE_f (raw) (eV per atom): -0.173

***

2.
The following is a PBE calculation of a relaxed structure of In2Ga2Fe, from Alexandria.

Unit cell a=6.671 b=6.671 c=4.493 alpha=90.00 beta=90.00 gamma=90.00
Last column: magnetic moment on the atom in μB.
Atoms (fractional coordinates):
Ga 0.647 0.147 0.000  -0.03
Ga 0.853 0.647 0.000  -0.04
Ga 0.353 0.853 0.000  -0.03
Ga 0.147 0.353 0.000  -0.04
In 0.829 0.329 0.500  0.00
In 0.329 0.171 0.500  -0.01
In 0.671 0.829 0.500  -0.01
In 0.171 0.671 0.500  0.00
Fe 0.500 0.500 0.000  2.52
Fe 0.000 0.000 0.000  2.51

Values from the calculation:
DFT formation energy (eV per atom): 0.24

***

3.
The following is a PBE calculation of a relaxed structure of TlRuPtBr2, from Alexandria.

Unit cell a=4.821 b=5.623 c=4.821 alpha=90.00 beta=90.00 gamma=90.00
Atoms (fractional coordinates):
Ru 0.000 0.000 0.000
Br 0.500 0.000 0.000
Br 0.000 0.000 0.500
Pt 0.500 0.500 0.500
Tl 0.000 0.500 0.000

Values from the calculation:
ΔE_f (raw) (eV per atom): 0.821

***

4.
The following is a PBE calculation of a relaxed structure of HgBi3Pb4, from Alexandria.

Unit cell a=4.737 b=8.137 c=7.693 alpha=88.15 beta=107.93 gamma=90.00
Atoms (fractional coordinates):
Pb 0.351 0.446 0.701
Pb 0.881 0.839 0.763
Pb 0.649 0.554 0.299
Pb 0.119 0.161 0.237
Bi 0.000 0.500 0.000
Bi 0.766 0.209 0.532
Bi 0.234 0.791 0.468
Hg 0.500 0.000 0.000

Values from the calculation:
DFT formation energy (eV per atom): 0.06

***

5.
The following is a PBE calculation of a relaxed structure of Na2ScSiRu, from Alexandria.

Unit cell a=5.136 b=5.187 c=5.136 alpha=90.00 beta=90.00 gamma=90.00
Last column: magnetic moment on the atom in μB.
Atoms (fractional coordinates):
Si 0.000 0.000 0.000  0.11
Na 0.500 0.000 0.000  0.00
Na 0.000 0.000 0.500  0.00
Sc 0.000 0.500 0.000  -0.08
Ru 0.500 0.500 0.500  2.33

Values from the calculation:
ΔE_f (raw) (eV per atom): 1.028

***

6.
The following is a PBE calculation of a relaxed structure of CsLiTe2, from Alexandria.

Unit cell a=6.577 b=7.709 c=6.580 alpha=94.34 beta=70.97 gamma=94.31
Atoms (fractional coordinates):
Cs 0.175 0.217 0.962
Cs 0.614 0.568 0.397
Te 0.519 0.043 0.302
Te 0.781 0.137 0.566
Te 0.271 0.741 0.054
Te 0.008 0.647 0.791
Li 0.103 0.893 0.470
Li 0.686 0.892 0.886

Values from the calculation:
ΔE_f (raw) (eV per atom): -0.822

***

7.
The following is a PBE calculation of a relaxed structure of PmEr2PaSb4, from Alexandria.

Unit cell a=4.388 b=7.619 c=7.582 alpha=109.35 beta=90.00 gamma=90.00
Last column: magnetic moment on the atom in μB.
Atoms (fractional coordinates):
Er 0.500 0.000 0.500  0.01
Er 0.000 0.500 0.500  0.00
Pa 0.500 0.500 0.000  0.80
Pm 0.000 0.000 0.000  0.01
Sb 0.000 0.251 0.745  -0.01
Sb 0.500 0.743 0.744  -0.01
Sb 0.000 0.749 0.255  -0.01
Sb 0.500 0.257 0.256  -0.01

Values from the calculation:
ΔE_f (raw) (eV per atom): -0.949

***

8.
The following is a PBE calculation of a relaxed structure of CdTeMo2, from Alexandria.

Unit cell a=3.277 b=3.277 c=6.875 alpha=90.00 beta=90.00 gamma=90.00
Atoms (fractional coordinates):
Mo 0.000 0.000 0.474
Mo 0.000 0.000 0.026
Te 0.500 0.500 0.250
Cd 0.500 0.500 0.750

Values from the calculation:
ΔE_f (raw) (eV per atom): 0.558

***

9.
The following is a PBE calculation of a relaxed structure of GdSbPd, from Alexandria.

Unit cell a=4.621 b=4.621 c=7.477 alpha=90.00 beta=90.00 gamma=120.00
Last column: magnetic moment on the atom in μB.
Atoms (fractional coordinates):
Pd 0.333 0.667 0.322  -0.01
Pd 0.667 0.333 0.822  -0.01
Sb 0.667 0.333 0.225  -0.04
Sb 0.333 0.667 0.725  -0.04
Gd 0.000 0.000 0.998  6.99
Gd 0.000 0.000 0.498  6.99

Values from the calculation:
ΔE_f (raw) (eV per atom): -1.083

***

10.
The following is a PBE calculation of a relaxed structure of BaLiSn2Pt2, from Alexandria.

Unit cell a=4.657 b=4.657 c=7.733 alpha=90.00 beta=90.00 gamma=120.00
Atoms (fractional coordinates):
Ba 0.000 0.000 0.000
Sn 0.333 0.667 0.327
Sn 0.667 0.333 0.673
Pt 0.333 0.667 0.683
Pt 0.667 0.333 0.317
Li 0.000 0.000 0.500

Values from the calculation:
DFT formation energy (eV per atom): -0.76

***

11.
The following is a PBE calculation of a relaxed structure of La6SmMg2, from Alexandria.

Unit cell a=5.204 b=7.958 c=8.238 alpha=84.05 beta=71.59 gamma=70.92
Atoms (fractional coordinates):
La 0.330 0.175 0.166
La 0.336 0.828 0.500
La 0.664 0.172 0.500
La 0.995 0.175 0.834
La 0.005 0.825 0.166
La 0.670 0.825 0.834
Sm 0.000 0.500 0.500
Mg 0.334 0.500 0.832
Mg 0.666 0.500 0.168

Values from the calculation:
DFT formation energy (eV per atom): 0.00

***

12.
The following is a PBE calculation of a relaxed structure of Y4HoTm5, from Alexandria.

Unit cell a=3.534 b=6.732 c=14.259 alpha=93.20 beta=104.30 gamma=105.72
Atoms (fractional coordinates):
Tm 0.500 0.500 0.000
Tm 0.068 0.418 0.613
Tm 0.932 0.582 0.387
Tm 0.772 0.874 0.583
Tm 0.228 0.126 0.417
Y 0.111 0.298 0.194
Y 0.638 0.172 0.786
Y 0.362 0.828 0.214
Y 0.889 0.702 0.806
Ho 0.500 0.000 0.000

Values from the calculation:
DFT formation energy (eV per atom): 0.06

***

13.
The following is a PBE calculation of a relaxed structure of MnInSi, from Alexandria.

Unit cell a=4.306 b=4.306 c=4.306 alpha=60.00 beta=60.00 gamma=60.00
Last column: magnetic moment on the atom in μB.
Atoms (fractional coordinates):
Si 0.000 0.000 0.000  -0.05
Mn 0.250 0.250 0.250  3.03
In 0.500 0.500 0.500  -0.02

Values from the calculation:
ΔE_f (raw) (eV per atom): 0.271

***

14.
The following is a PBE calculation of a relaxed structure of NpSnSe2S, from Alexandria.

Unit cell a=4.155 b=7.031 c=9.994 alpha=90.00 beta=90.00 gamma=107.18
Last column: magnetic moment on the atom in μB.
Atoms (fractional coordinates):
Np 0.000 0.000 0.500  3.33
Np 0.000 0.000 0.000  3.33
Se 0.364 0.728 0.450  -0.11
Se 0.364 0.728 0.050  -0.11
Se 0.636 0.272 0.550  -0.11
Se 0.636 0.272 0.950  -0.11
S 0.077 0.155 0.250  -0.07
S 0.923 0.845 0.750  -0.07
Sn 0.291 0.582 0.750  -0.01
Sn 0.709 0.418 0.250  -0.01

Values from the calculation:
ΔE_f (raw) (eV per atom): -0.801

***

15.
The following is a PBE calculation of a relaxed structure of As3Br, from Alexandria.

Unit cell a=6.389 b=6.389 c=6.389 alpha=146.57 beta=103.23 gamma=86.37
Atoms (fractional coordinates):
Br 0.516 0.000 0.516
As 0.912 0.877 0.035
As 0.158 0.123 0.035
As 0.247 0.500 0.747

Values from the calculation:
ΔE_f (raw) (eV per atom): 0.153

***

16.
The following is a PBE calculation of a relaxed structure of Ce2Pm3NdN6, from Alexandria.

Unit cell a=6.237 b=6.237 c=6.232 alpha=99.61 beta=99.61 gamma=120.01
Atoms (fractional coordinates):
N 0.736 0.736 0.242
N 0.576 0.919 0.758
N 0.081 0.424 0.242
N 0.919 0.576 0.758
N 0.424 0.081 0.242
N 0.264 0.264 0.758
Pm 0.167 0.833 0.500
Pm 0.833 0.167 0.500
Pm 0.500 0.500 0.500
Ce 0.667 0.333 0.000
Ce 0.333 0.667 0.000
Nd 0.000 0.000 0.000

Values from the calculation:
ΔE_f (raw) (eV per atom): -1.470

***

17.
The following is a PBE calculation of a relaxed structure of BaPrEuNbO6, from Alexandria.

Unit cell a=6.149 b=6.149 c=6.149 alpha=60.00 beta=60.00 gamma=60.00
Last column: magnetic moment on the atom in μB.
Atoms (fractional coordinates):
O 0.232 0.768 0.768  -0.01
O 0.768 0.768 0.232  -0.01
O 0.232 0.232 0.768  -0.01
O 0.768 0.232 0.768  -0.01
O 0.232 0.768 0.232  -0.01
O 0.768 0.232 0.232  -0.01
Ba 0.250 0.250 0.250  0.00
Nb 0.000 0.000 0.000  0.02
Eu 0.750 0.750 0.750  6.88
Pr 0.500 0.500 0.500  0.01

Values from the calculation:
ΔE_f (raw) (eV per atom): -2.842

***

18.
The following is a PBE calculation of a relaxed structure of AcErNiPd, from Alexandria.

Unit cell a=5.094 b=5.094 c=5.094 alpha=60.00 beta=60.00 gamma=60.00
Atoms (fractional coordinates):
Ni 0.000 0.000 0.000
Er 0.750 0.750 0.750
Ac 0.250 0.250 0.250
Pd 0.500 0.500 0.500

Values from the calculation:
DFT formation energy (eV per atom): -0.45

***

19.
The following is a PBE calculation of a relaxed structure of VMoHRh2, from Alexandria.

Unit cell a=3.855 b=3.855 c=3.979 alpha=90.00 beta=90.00 gamma=90.00
Atoms (fractional coordinates):
Rh 0.000 0.500 0.000
Rh 0.500 0.000 0.000
V 0.000 0.000 0.500
Mo 0.500 0.500 0.500
H 0.000 0.000 0.000

Values from the calculation:
Raw total energy (eV per atom): -7.80

***

20.
The following is a PBE calculation of a relaxed structure of Li6Ca2Hg, from Alexandria.

Unit cell a=6.137 b=6.138 c=6.504 alpha=90.00 beta=90.01 gamma=60.00
Atoms (fractional coordinates):
Hg 0.000 0.000 0.000
Ca 0.667 0.667 0.125
Ca 0.333 0.333 0.875
Li 0.341 0.830 0.666
Li 0.170 0.659 0.334
Li 0.830 0.341 0.666
Li 0.170 0.170 0.334
Li 0.830 0.830 0.666
Li 0.659 0.170 0.334

Values from the calculation:
DFT formation energy (eV per atom): -0.11

***

21.
The following is a PBE calculation of a relaxed structure of PmNp2S5, from Alexandria.

Unit cell a=7.393 b=7.973 c=11.835 alpha=90.00 beta=90.00 gamma=90.00
Last column: magnetic moment on the atom in μB.
Atoms (fractional coordinates):
S 0.822 0.250 0.189  -0.12
S 0.838 0.045 0.891  -0.09
S 0.208 0.250 0.780  -0.10
S 0.338 0.545 0.609  -0.09
S 0.292 0.250 0.280  -0.10
S 0.322 0.750 0.311  -0.12
S 0.662 0.455 0.391  -0.09
S 0.792 0.750 0.220  -0.10
S 0.162 0.955 0.109  -0.09
S 0.029 0.250 0.500  -0.10
S 0.708 0.750 0.720  -0.10
S 0.162 0.545 0.109  -0.09
S 0.678 0.250 0.689  -0.12
S 0.529 0.750 0.000  -0.10
S 0.178 0.750 0.811  -0.12
S 0.338 0.955 0.609  -0.09
S 0.662 0.045 0.391  -0.09
S 0.471 0.250 0.000  -0.10
S 0.838 0.455 0.891  -0.09
S 0.971 0.750 0.500  -0.10
Np 0.490 0.000 0.818  3.62
Np 0.490 0.500 0.818  3.62
Np 0.510 0.500 0.182  3.62
Np 0.010 0.000 0.318  3.62
Np 0.990 0.000 0.682  3.62
Np 0.510 0.000 0.182  3.62
Np 0.010 0.500 0.318  3.62
Np 0.990 0.500 0.682  3.62
Pm 0.082 0.250 0.008  0.01
Pm 0.582 0.750 0.492  0.01
Pm 0.918 0.750 0.992  0.01
Pm 0.418 0.250 0.508  0.01

Values from the calculation:
ΔE_f (raw) (eV per atom): -1.535

***

22.
The following is a PBE calculation of a relaxed structure of Ho2TmTh2Sc2, from Alexandria.

Unit cell a=5.490 b=6.498 c=6.407 alpha=95.16 beta=90.00 gamma=114.99
Atoms (fractional coordinates):
Th 0.849 0.699 0.930
Th 0.151 0.301 0.070
Tm 0.000 0.000 0.500
Ho 0.446 0.891 0.226
Ho 0.554 0.109 0.774
Sc 0.722 0.445 0.386
Sc 0.278 0.555 0.614

Values from the calculation:
DFT formation energy (eV per atom): 0.11

***

23.
The following is a PBE calculation of a relaxed structure of Ba2Ge2Rh, from Alexandria.

Unit cell a=6.553 b=6.553 c=5.851 alpha=55.94 beta=55.94 gamma=90.00
Atoms (fractional coordinates):
Ge 0.336 0.336 0.328
Ge 0.664 0.664 0.672
Rh 0.000 0.000 0.000
Ba 0.750 0.250 0.500
Ba 0.250 0.750 0.500

Values from the calculation:
DFT formation energy (eV per atom): -0.22

***

24.
The following is a PBE calculation of a relaxed structure of Cd3In2Hg, from Alexandria.

Unit cell a=6.249 b=7.697 c=7.697 alpha=53.98 beta=89.71 gamma=89.71
Atoms (fractional coordinates):
Hg 0.250 0.141 0.859
Hg 0.750 0.859 0.141
Cd 0.936 0.789 0.548
Cd 0.436 0.548 0.789
Cd 0.064 0.211 0.452
Cd 0.750 0.400 0.600
Cd 0.250 0.600 0.400
Cd 0.564 0.452 0.211
In 0.898 0.291 0.033
In 0.602 0.967 0.709
In 0.398 0.033 0.291
In 0.102 0.709 0.967

Values from the calculation:
DFT formation energy (eV per atom): 0.02

***

no.,total magnetic moment (μB/f.u.)
1,1.78
2,2.41
3,0.00
4,0.00
5,2.71
6,0.00
7,0.91
8,0.00
9,7.02
10,0.00
11,0.00
12,0.00
13,3.14
14,3.00
15,0.00
16,0.00
17,7.00
18,0.00
19,0.00
20,0.00
21,7.00
22,0.00
23,0.00
24,0.00